# 1
The following is a meta-GGA SCAN calculation of NdTe3 at its PBEsol-relaxed geometry, from Alexandria.

Geometry as POSCAR:
```
NdTe3
1.0
2.1619 -13.0172 0.0000
2.1619 13.0172 0.0000
0.0000 0.0000 4.3242
Nd Te
2 6
direct
0.1689 0.8311 0.7500 Nd
0.8311 0.1689 0.2500 Nd
0.0718 0.9282 0.2500 Te
0.2942 0.7058 0.7500 Te
0.4281 0.5719 0.2500 Te
0.5719 0.4281 0.7500 Te
0.7058 0.2942 0.2500 Te
0.9282 0.0718 0.7500 Te
```

Computed properties:
The calculated density comes out at 7.2 Mg/m³. Its energy relative to the elements, uncorrected is -25.881 kcal/mol of atoms. Its space group is Cmcm, No. 63. The crystal system is orthorhombic. As for the density of states at the Fermi level: 1.9 states/eV per cell. For the total DFT energy (no corrections), the calculation gives -319.649 eV/cell.



# 2
The following is a meta-GGA SCAN calculation of Nd2Te3 at its PBEsol-relaxed geometry, from Alexandria.

Geometry as POSCAR:
```
Nd2Te3
1.0
12.2004 0.0000 0.0000
0.0000 4.3681 0.0000
0.0000 0.0000 11.7478
Nd Te
8 12
direct
0.0174 0.2500 0.1870 Nd
0.1972 0.2500 0.4962 Nd
0.3028 0.7500 0.9962 Nd
0.4826 0.7500 0.6870 Nd
0.5174 0.2500 0.3130 Nd
0.6972 0.2500 0.0038 Nd
0.8028 0.7500 0.5038 Nd
0.9826 0.7500 0.8130 Nd
0.0415 0.7500 0.3782 Te
0.1204 0.2500 0.9411 Te
0.2254 0.7500 0.7001 Te
0.2746 0.2500 0.2001 Te
0.3796 0.7500 0.4411 Te
0.4585 0.2500 0.8782 Te
0.5415 0.7500 0.1218 Te
0.6204 0.2500 0.5589 Te
0.7254 0.7500 0.7999 Te
0.7746 0.2500 0.2999 Te
0.8796 0.7500 0.0589 Te
0.9585 0.2500 0.6218 Te
```

Computed properties:
The calculated density comes out at 7.1 Mg/m³. Its energy relative to the elements, uncorrected is -37.728 kcal/mol of atoms. Its space group is Pnma, No. 62. The crystal system is orthorhombic. As for the density of states at the Fermi level: 0.6 states/eV per cell. For the total DFT energy (no corrections), the calculation gives -828.392 eV/cell.



# 3
The following is a meta-GGA SCAN calculation of NdTlTe2 at its PBEsol-relaxed geometry, from Alexandria.

Geometry as POSCAR:
```
NdTlTe2
1.0
2.2322 1.2888 7.9957
-2.2322 1.2888 7.9957
0.0000 -2.5776 7.9957
Nd Tl Te
1 1 2
direct
0.0000 0.0000 0.0000 Nd
0.5000 0.5000 0.5000 Tl
0.2579 0.2579 0.2579 Te
0.7421 0.7421 0.7421 Te
```

Computed properties:
The calculated density comes out at 7.3 Mg/m³. Its energy relative to the elements, uncorrected is -27.221 kcal/mol of atoms. Its space group is R-3m, No. 166. The crystal system is trigonal. For the total DFT energy (no corrections), the calculation gives -195.164 eV/cell.



What is the calculated density in the first record?
7.2 Mg/m³



The lowest total DFT energy (no corrections) belongs to which entry?
Nd2Te3